Entry 1:
Density functional theory data (PBE-GGA) for a relaxed Pr5Sn2Rh crystal.

Summary:
density of states at the Fermi level: 1.158 states/eV/atom
energy of formation: -651 meV/atom

Unit cell a=8.202 b=12.655 c=4.755 alpha=90.00 beta=90.00 gamma=90.00
Space group Pbam (No. 55)
Asymmetric unit:
Pr 0.000 0.000 0.000 (multiplicity 2)
Pr 0.136 0.295 0.000 (multiplicity 4)
Pr 0.188 0.567 0.500 (multiplicity 4)
Sn 0.080 0.829 0.500 (multiplicity 4)
Rh 0.000 0.500 0.000 (multiplicity 2)

Entry 2:
Density functional theory data (PBE-GGA) for a relaxed PrSnRh crystal.

Summary:
density of states at the Fermi level: 0.584 states/eV/atom
energy of formation: -807 meV/atom

Unit cell a=7.498 b=4.411 c=12.542 alpha=90.00 beta=90.97 gamma=90.00
Space group P2_1/m (No. 11)
Asymmetric unit:
Pr 0.031 0.250 0.124 (multiplicity 2)
Pr 0.149 0.250 0.419 (multiplicity 2)
Pr 0.465 0.750 0.792 (multiplicity 2)
Sn 0.134 0.250 0.707 (multiplicity 2)
Sn 0.345 0.750 0.045 (multiplicity 2)
Sn 0.489 0.750 0.411 (multiplicity 2)
Rh 0.232 0.750 0.255 (multiplicity 2)
Rh 0.270 0.250 0.924 (multiplicity 2)
Rh 0.270 0.750 0.591 (multiplicity 2)

Entry 3:
Density functional theory data (PBE-GGA) for a relaxed PrSn2Rh crystal.

Summary:
density of states at the Fermi level: 0.468 states/eV/atom
energy of formation: -675 meV/atom

Unit cell a=4.5138 b=4.5138 c=16.3968 alpha=90.00 beta=90.00 gamma=120.00
Space group R-3m (No. 166, hexagonal axes)
Asymmetric unit:
Pr 0.0000 0.0000 0.0000 (multiplicity 3)
Sn 0.0000 0.0000 0.2202 (multiplicity 6)
Rh 0.0000 0.0000 0.5000 (multiplicity 3)

Entry 4:
Density functional theory data (PBE-GGA) for a relaxed Pr3SnRh crystal.

Summary:
density of states at the Fermi level: 0.854 states/eV/atom
energy above the lowest structure with this stoichiometry: 193 meV per atom
energy of formation: -405 meV/atom

Unit cell a=5.480 b=5.480 c=5.480 alpha=90.00 beta=90.00 gamma=90.00
Space group Pm-3m (No. 221)
Asymmetric unit:
Pr 0.000 0.000 0.500 (multiplicity 3)
Sn 0.500 0.500 0.500 (multiplicity 1)
Rh 0.000 0.000 0.000 (multiplicity 1)